# MgCdCu | Alexandria | GGA-PBEsol | relaxed
data_MgCdCu
_cell_length_a 6.229
_cell_length_b 6.229
_cell_length_c 6.229
_cell_angle_alpha 90.00
_cell_angle_beta 90.00
_cell_angle_gamma 90.00
_space_group_name_H-M_alt 'F -4 3 m'
_space_group_IT_number 216
_space_group_name_Hall 'F -4 2 3'
loop_
_atom_site_label
_atom_site_type_symbol
_atom_site_fract_x
_atom_site_fract_y
_atom_site_fract_z
Mg1 Mg 0.000 0.000 0.000
Cd1 Cd 0.250 0.250 0.250
Cu1 Cu 0.000 0.000 0.500
# DFT formation energy	276	meV/atom
# E above lowest polymorph	0.326	eV/atom